Computed, not measured: a geometry-optimized Ti2NbSiBr structure at the GGA-PBE level of DFT.

Lattice parameters (Å, degrees): 4.9615 4.9615 4.8473 90.00 90.00 90.00
Fractional positions:
Ti1 0.0000 0.5000 0.0000
Ti2 0.5000 0.0000 0.0000
Nb1 0.0000 0.0000 0.0000
Si1 0.0000 0.0000 0.5000
Br1 0.5000 0.5000 0.5000

## Properties
As for the symmetry: No. 123. The uncorrected formation energy comes out at 0.83 eV/atom. For the total energy, the calculation gives -5.7609 eV per atom.



Computed, not measured: a geometry-optimized NbSi2WBr structure at the GGA-PBE level of DFT.

Lattice parameters (Å, degrees): 4.7168 4.7168 5.1878 90.00 90.00 90.00
Fractional positions:
Nb1 0.0000 0.0000 0.0000
Si1 0.0000 0.5000 0.5000
Si2 0.5000 0.0000 0.5000
W1 0.5000 0.5000 0.5000
Br1 0.5000 0.5000 0.0000

## Properties
As for the symmetry: No. 123. The uncorrected formation energy comes out at 1.28 eV/atom. For the total energy, the calculation gives -5.8281 eV per atom.



Computed, not measured: a geometry-optimized NbSnBr4 structure at the GGA-PBE level of DFT.

Lattice parameters (Å, degrees): 8.6954 8.6954 5.9666 91.56 91.56 74.61
Fractional positions:
Nb1 0.0617 0.9383 0.7500
Nb2 0.9383 0.0617 0.2500
Sn1 0.4624 0.5376 0.7500
Sn2 0.5376 0.4624 0.2500
Br1 0.0274 0.2184 0.5961
Br2 0.1539 0.6232 0.8985
Br3 0.2184 0.0274 0.0961
Br4 0.3768 0.8461 0.6015
Br5 0.6232 0.1539 0.3985
Br6 0.7816 0.9726 0.9039
Br7 0.8461 0.3768 0.1015
Br8 0.9726 0.7816 0.4039

## Properties
As for the symmetry: No. 15. The uncorrected formation energy comes out at -0.62 eV/atom. For the total energy, the calculation gives -4.0778 eV per atom.



Computed, not measured: a geometry-optimized NbSnBr6 structure at the GGA-PBE level of DFT.

Lattice parameters (Å, degrees): 7.1843 7.1843 6.9509 97.99 97.99 121.96
Fractional positions:
Nb1 0.0000 0.0000 0.0000
Sn1 0.5000 0.5000 0.5000
Br1 0.0741 0.3656 0.2267
Br2 0.2375 0.2375 0.7748
Br3 0.3656 0.0741 0.2267
Br4 0.6344 0.9259 0.7733
Br5 0.7625 0.7625 0.2252
Br6 0.9259 0.6344 0.7733

## Properties
As for the symmetry: No. 12. The uncorrected formation energy comes out at -0.77 eV/atom. For the total energy, the calculation gives -3.7867 eV per atom.



Computed, not measured: a geometry-optimized Nb2SnBr structure at the GGA-PBE level of DFT.

Lattice parameters (Å, degrees): 10.2893 10.2893 10.2893 156.42 156.42 33.59
Fractional positions:
Nb1 0.1208 0.6250 0.9958
Nb2 0.3750 0.3708 0.4958
Nb3 0.6292 0.1250 0.0042
Nb4 0.8750 0.8792 0.5042
Sn1 0.2500 0.7500 0.5000
Sn2 0.5000 0.5000 0.0000
Br1 0.0000 0.0000 0.0000
Br2 0.7500 0.2500 0.5000

## Properties
As for the symmetry: No. 122. Its offset from the most stable computed form is 0.285 eV per atom. The uncorrected formation energy comes out at 0.63 eV/atom. For the total energy, the calculation gives -5.8238 eV per atom.



Computed, not measured: a geometry-optimized NbSnBr3 structure at the GGA-PBE level of DFT.

Lattice parameters (Å, degrees): 5.3582 5.3582 5.3582 90.00 90.00 90.00
Fractional positions:
Nb1 0.0000 0.0000 0.0000
Sn1 0.5000 0.5000 0.5000
Br1 0.0000 0.0000 0.5000
Br2 0.0000 0.5000 0.0000
Br3 0.5000 0.0000 0.0000

## Properties
As for the symmetry: No. 221. Its offset from the most stable computed form is 0.000 eV per atom. The uncorrected formation energy comes out at -0.04 eV/atom. For the total energy, the calculation gives -3.8559 eV per atom.



Computed, not measured: a geometry-optimized NbSn2Br4 structure at the GGA-PBE level of DFT.

Lattice parameters (Å, degrees): 8.9808 8.9808 8.9808 143.25 143.25 52.95
Fractional positions:
Nb1 0.0000 0.0000 0.0000
Sn1 0.4067 0.4067 0.0000
Sn2 0.5933 0.5933 0.0000
Br1 0.0000 0.5000 0.5000
Br2 0.1613 0.1613 0.0000
Br3 0.5000 0.0000 0.5000
Br4 0.8387 0.8387 0.0000

## Properties
As for the symmetry: No. 139. The uncorrected formation energy comes out at -0.10 eV/atom. For the total energy, the calculation gives -3.6429 eV per atom.



Computed, not measured: a geometry-optimized NbSn4Br2 structure at the GGA-PBE level of DFT.

Lattice parameters (Å, degrees): 9.4384 9.4384 9.4384 146.77 146.77 47.71
Fractional positions:
Nb1 0.0000 0.0000 0.0000
Sn1 0.0000 0.5000 0.5000
Sn2 0.1524 0.1524 0.0000
Sn3 0.5000 0.0000 0.5000
Sn4 0.8476 0.8476 0.0000
Br1 0.3098 0.3098 0.0000
Br2 0.6902 0.6902 0.0000

## Properties
As for the symmetry: No. 139. The uncorrected formation energy comes out at 0.09 eV/atom. For the total energy, the calculation gives -4.1121 eV per atom.



Q: total energy of number 7 (NbSn2Br4)?
A: -3.6429 eV per atom



Q: Among the records above, which one has the highest total energy?
A: NbSn2Br4



Q: Which value of total energy does entry 7 give?
A: -3.6429 eV per atom